Below is a geometry-optimized Na3Pu2Cl8 structure, with properties calculated at the GGA-PBE level.

Results
- SG: C2/m (12)
- Energy relative to the lowest polymorph listed for this composition: 0.006 eV/atom

a b c (Å): 8.357 8.357 6.753
angles (deg): 107.16 107.16 56.24
Element x y z (fractional)
1 Na 0.000 0.000 0.000
2 Na 0.264 0.736 0.500
3 Na 0.736 0.264 0.500
4 Pu 0.260 0.260 0.827
5 Pu 0.740 0.740 0.173
6 Cl 0.107 0.636 0.081
7 Cl 0.116 0.116 0.436
8 Cl 0.364 0.893 0.919
9 Cl 0.384 0.384 0.605
10 Cl 0.616 0.616 0.395
11 Cl 0.636 0.107 0.081
12 Cl 0.884 0.884 0.564
13 Cl 0.893 0.364 0.919

---

Below is a geometry-optimized Na3Pu2Cl8 structure, with properties calculated at the GGA-PBE level.

Results
- SG: C2/m (12)
- Energy relative to the lowest polymorph listed for this composition: 0.000 eV/atom

a b c (Å): 8.335 8.335 6.842
angles (deg): 105.53 105.53 60.16
Element x y z (fractional)
1 Na 0.000 0.000 0.000
2 Na 0.256 0.744 0.500
3 Na 0.744 0.256 0.500
4 Pu 0.257 0.257 0.542
5 Pu 0.743 0.743 0.458
6 Cl 0.091 0.636 0.729
7 Cl 0.111 0.111 0.732
8 Cl 0.364 0.909 0.271
9 Cl 0.376 0.376 0.301
10 Cl 0.624 0.624 0.699
11 Cl 0.636 0.091 0.729
12 Cl 0.889 0.889 0.268
13 Cl 0.909 0.364 0.271

---

Below is a geometry-optimized NaPuCl3 structure, with properties calculated at the GGA-PBE level.

Results
- SG: Pm-3m (221)

a b c (Å): 5.535 5.535 5.535
angles (deg): 90.00 90.00 90.00
Element x y z (fractional)
1 Na 0.000 0.000 0.000
2 Pu 0.500 0.500 0.500
3 Cl 0.000 0.500 0.500
4 Cl 0.500 0.000 0.500
5 Cl 0.500 0.500 0.000

---

Below is a geometry-optimized Na3Pu5Cl12 structure, with properties calculated at the GGA-PBE level.

Results
- SG: Ia-3d (230)

a b c (Å): 14.734 14.734 14.734
angles (deg): 109.47 109.47 109.47
Element x y z (fractional)
1 Na 0.125 0.250 0.375
2 Na 0.125 0.375 0.750
3 Na 0.250 0.375 0.125
4 Na 0.250 0.875 0.625
5 Na 0.375 0.125 0.250
6 Na 0.375 0.750 0.125
7 Na 0.625 0.250 0.875
8 Na 0.625 0.875 0.750
9 Na 0.750 0.125 0.375
10 Na 0.750 0.625 0.875
11 Na 0.875 0.625 0.250
12 Na 0.875 0.750 0.625
13 Pu 0.000 0.000 0.000
14 Pu 0.000 0.000 0.500
15 Pu 0.000 0.500 0.000
16 Pu 0.000 0.500 0.500
17 Pu 0.125 0.750 0.875
18 Pu 0.125 0.875 0.250
19 Pu 0.250 0.125 0.875
20 Pu 0.250 0.625 0.375
21 Pu 0.375 0.250 0.625
22 Pu 0.375 0.625 0.750
23 Pu 0.500 0.000 0.000
24 Pu 0.500 0.000 0.500
25 Pu 0.500 0.500 0.000
26 Pu 0.500 0.500 0.500
27 Pu 0.625 0.375 0.250
28 Pu 0.625 0.750 0.375
29 Pu 0.750 0.375 0.625
30 Pu 0.750 0.875 0.125
31 Pu 0.875 0.125 0.750
32 Pu 0.875 0.250 0.125
33 Cl 0.048 0.221 0.126
34 Cl 0.048 0.327 0.922
35 Cl 0.078 0.626 0.405
36 Cl 0.078 0.952 0.673
37 Cl 0.095 0.721 0.673
38 Cl 0.095 0.874 0.422
39 Cl 0.126 0.048 0.221
40 Cl 0.126 0.578 0.905
41 Cl 0.173 0.221 0.595
42 Cl 0.173 0.452 0.578
43 Cl 0.221 0.126 0.048
44 Cl 0.221 0.595 0.173
45 Cl 0.279 0.327 0.905
46 Cl 0.279 0.452 0.374
47 Cl 0.327 0.905 0.279
48 Cl 0.327 0.922 0.048
49 Cl 0.374 0.279 0.452
50 Cl 0.374 0.595 0.922
51 Cl 0.405 0.078 0.626
52 Cl 0.405 0.827 0.779
53 Cl 0.422 0.095 0.874
54 Cl 0.422 0.827 0.548
55 Cl 0.452 0.374 0.279
56 Cl 0.452 0.578 0.173
57 Cl 0.548 0.422 0.827
58 Cl 0.548 0.626 0.721
59 Cl 0.578 0.173 0.452
60 Cl 0.578 0.905 0.126
61 Cl 0.595 0.173 0.221
62 Cl 0.595 0.922 0.374
63 Cl 0.626 0.405 0.078
64 Cl 0.626 0.721 0.548
65 Cl 0.673 0.078 0.952
66 Cl 0.673 0.095 0.721
67 Cl 0.721 0.548 0.626
68 Cl 0.721 0.673 0.095
69 Cl 0.779 0.405 0.827
70 Cl 0.779 0.874 0.952
71 Cl 0.827 0.548 0.422
72 Cl 0.827 0.779 0.405
73 Cl 0.874 0.422 0.095
74 Cl 0.874 0.952 0.779
75 Cl 0.905 0.126 0.578
76 Cl 0.905 0.279 0.327
77 Cl 0.922 0.048 0.327
78 Cl 0.922 0.374 0.595
79 Cl 0.952 0.673 0.078
80 Cl 0.952 0.779 0.874

---

no.,VASP energy (eV/atom),magnetization (μB per formula unit),raw formation energy (eV per atom)
1,-5.47,11.000,-1.827
2,-5.48,11.000,-1.833
3,-5.81,5.799,-1.575
4,-6.44,30.884,-1.551